This record from the Alexandria database describes a relaxed structure of Ce12PmTh7. The functional is GGA-PBE.

a b c (Å): 9.6039 9.6039 9.6039
angles (deg): 109.47 109.47 109.47
Each line ends with the local moment (μB).
Element x y z (fractional)
Ce (0.9063, 0.6942, 0.2121)  0.66
Ce (0.2121, 0.9063, 0.6942)  0.66
Ce (0.7879, 0.0937, 0.3058)  0.66
Th (0.0000, 0.5000, 0.5000)  0.38
Th (0.0000, 0.5000, 0.0000)  0.32
Ce (0.2121, 0.5179, 0.3058)  0.66
Th (0.5000, 0.5000, 0.0000)  0.38
Th (0.5000, 0.0000, 0.0000)  0.32
Th (0.5000, 0.0000, 0.5000)  0.38
Ce (0.5179, 0.3058, 0.2121)  0.66
Ce (0.0937, 0.3058, 0.7879)  0.66
Ce (0.6942, 0.7879, 0.4821)  0.66
Ce (0.4821, 0.6942, 0.7879)  0.66
Ce (0.3058, 0.7879, 0.0937)  0.66
Ce (0.3058, 0.2121, 0.5179)  0.66
Ce (0.6942, 0.2121, 0.9063)  0.66
Pm (0.0000, 0.0000, 0.0000)  0.06
Ce (0.7879, 0.4821, 0.6942)  0.66
Th (0.0000, 0.0000, 0.5000)  0.32
Th (0.5000, 0.5000, 0.5000)  0.32

***

This record from the Alexandria database describes a relaxed structure of CePmTh6. The functional is GGA-PBE.

a b c (Å): 5.0222 5.0222 10.0538
angles (deg): 90.00 90.00 90.00
Element x y z (fractional)
Ce (0.0000, 0.0000, 0.5000)
Th (0.5000, 0.0000, 0.7444)
Th (0.5000, 0.5000, 0.0000)
Th (0.0000, 0.5000, 0.2556)
Th (0.0000, 0.5000, 0.7444)
Pm (0.0000, 0.0000, 0.0000)
Th (0.5000, 0.5000, 0.5000)
Th (0.5000, 0.0000, 0.2556)

***

This record from the Alexandria database describes a relaxed structure of Ce3PmTh12. The functional is GGA-PBE.

a b c (Å): 4.9923 4.9923 20.0645
angles (deg): 90.00 90.00 90.00
Element x y z (fractional)
Th (0.5000, 0.0000, 0.1289)
Ce (0.0000, 0.0000, 0.7478)
Th (0.0000, 0.5000, 0.8711)
Th (0.0000, 0.5000, 0.6235)
Pm (0.0000, 0.0000, 0.0000)
Ce (0.0000, 0.0000, 0.2522)
Th (0.5000, 0.0000, 0.8711)
Ce (0.0000, 0.0000, 0.5000)
Th (0.5000, 0.5000, 0.2539)
Th (0.5000, 0.0000, 0.6235)
Th (0.5000, 0.5000, 0.7461)
Th (0.5000, 0.5000, 0.5000)
Th (0.5000, 0.5000, 0.0000)
Th (0.5000, 0.0000, 0.3765)
Th (0.0000, 0.5000, 0.1289)
Th (0.0000, 0.5000, 0.3765)

***

This record from the Alexandria database describes a relaxed structure of Ce2Pm3Y6Th. The functional is GGA-PBE.

a b c (Å): 6.2043 6.2043 11.7925
angles (deg): 95.04 95.04 120.00
Each line ends with the local moment (μB).
Element x y z (fractional)
Pm (0.1667, 0.8333, 0.5000)  0.00
Pm (0.8333, 0.1667, 0.5000)  0.00
Y (0.5863, 0.9182, 0.7555)  0.00
Y (0.2500, 0.2500, 0.7556)  0.00
Pm (0.5000, 0.5000, 0.5000)  0.00
Y (0.7500, 0.7500, 0.2444)  0.00
Th (0.0000, 0.0000, 0.0000)  0.02
Ce (0.6667, 0.3333, 0.0000)  0.58
Y (0.4137, 0.0818, 0.2445)  0.00
Y (0.9182, 0.5863, 0.7555)  0.00
Ce (0.3333, 0.6667, 0.0000)  0.58
Y (0.0818, 0.4137, 0.2445)  0.00

***

This record from the Alexandria database describes a relaxed structure of CePmThZn. The functional is GGA-PBE.

a b c (Å): 5.2991 5.2991 5.2991
angles (deg): 60.00 60.00 60.00
Each line ends with the local moment (μB).
Element x y z (fractional)
Ce (0.5000, 0.5000, 0.5000)  0.22
Pm (0.2500, 0.2500, 0.2500)  0.08
Zn (0.0000, 0.0000, 0.0000)  0.00
Th (0.7500, 0.7500, 0.7500)  0.09

***

This record from the Alexandria database describes a relaxed structure of CePmThZr. The functional is GGA-PBE.

a b c (Å): 5.4941 5.4941 5.4941
angles (deg): 60.00 60.00 60.00
Each line ends with the local moment (μB).
Element x y z (fractional)
Pm (0.7500, 0.7500, 0.7500)  0.05
Th (0.5000, 0.5000, 0.5000)  0.02
Zr (0.2500, 0.2500, 0.2500)  -0.01
Ce (0.0000, 0.0000, 0.0000)  0.56

***

This record from the Alexandria database describes a relaxed structure of CePmTi. The functional is GGA-PBE.

a b c (Å): 3.2314 5.6364 11.6372
angles (deg): 109.77 123.69 90.02
Element x y z (fractional)
Ti (0.5772, 0.5791, 0.4132)
Pm (0.4505, 0.3197, 0.0999)
Ce (0.3975, 0.9796, 0.3237)
Ti (0.4228, 0.4209, 0.5868)
Pm (0.5495, 0.6803, 0.9001)
Ce (0.6025, 0.0204, 0.6763)

***

This record from the Alexandria database describes a relaxed structure of CePm3Tl5. The functional is GGA-PBE.

a b c (Å): 6.5731 9.6027 9.6027
angles (deg): 120.00 90.00 90.00
Each line ends with the local moment (μB).
Element x y z (fractional)
Tl (0.2500, 0.3005, 0.3005)  -0.01
Tl (0.2500, 0.0000, 0.6995)  -0.01
Ce (0.0000, 0.0000, 0.0000)  0.73
Tl (0.7500, 0.3005, 0.0000)  -0.01
Tl (0.5000, 0.6667, 0.3333)  0.00
Pm (0.7500, 0.6324, 0.0000)  -0.01
Pm (0.2500, 0.6324, 0.6324)  -0.01
Pm (0.2500, 0.3676, 0.0000)  -0.01
Tl (0.2500, 0.6995, 0.0000)  -0.01
Tl (0.7500, 0.6995, 0.6995)  -0.01
Pm (0.2500, 0.0000, 0.3676)  -0.01
Tl (0.5000, 0.3333, 0.6667)  0.00
Tl (0.0000, 0.6667, 0.3333)  0.00
Tl (0.7500, 0.0000, 0.3005)  -0.01
Ce (0.5000, 0.0000, 0.0000)  0.73
Pm (0.7500, 0.3676, 0.3676)  -0.01
Pm (0.7500, 0.0000, 0.6324)  -0.01
Tl (0.0000, 0.3333, 0.6667)  0.00

***

| no. | DFT formation energy (eV per atom) | uncorrected energy (eV for the cell shown) |
| --- | --- | --- |
| 1 | 0.80 | -111.81 |
| 2 | 0.04 | -54.85 |
| 3 | 0.03 | -111.16 |
| 4 | 0.04 | -71.82 |
| 5 | 0.11 | -18.93 |
| 6 | 0.24 | -25.71 |
| 7 | 0.23 | -35.77 |
| 8 | -0.32 | -69.75 |